A plane-wave DFT calculation with GGA-PBE was carried out for a geometry-optimized KZnSn2 structure.

Cell lengths 4.4964, 4.4964, 21.9429 Å; angles 90.00, 90.00, 120.00 degrees
Closest atoms and distances in Å follow each position.
Space group R3m (No. 160, hexagonal axes)
Unique sites:
K1 0.0000 0.0000 0.0000 x3  6 Sn 3.61-3.75, 1 Zn 3.84
Zn1 0.0000 0.0000 0.1751 x3  6 Sn 2.77-2.84
Sn1 0.0000 0.0000 0.5525 x3  3 Zn 2.77
Sn2 0.0000 0.0000 0.7898 x3  3 Zn 2.84

***

A plane-wave DFT calculation with GGA-PBE was carried out for a geometry-optimized KZnSn2 structure.

Cell lengths 4.5175, 4.5175, 21.3237 Å; angles 90.00, 90.00, 120.00 degrees
Closest atoms and distances in Å follow each position.
Space group R-3m (No. 166, hexagonal axes)
Unique sites:
K1 0.0000 0.0000 0.0000 x3  6 Sn 3.62
Zn1 0.0000 0.0000 0.5000 x3  6 Sn 2.81
Sn1 0.0000 0.0000 0.2154 x6  3 Zn 2.81

***

A plane-wave DFT calculation with GGA-PBE was carried out for a geometry-optimized KZn3Sn2 structure.

Cell lengths 16.5286, 4.2025, 9.5844 Å; angles 90.00, 109.80, 90.00 degrees
Closest atoms and distances in Å follow each position.
Space group C2/m (No. 12)
Unique sites:
K1 0.1340 0.0000 0.0258 x4  7 Sn 3.66-3.68
Zn1 0.0642 0.0000 0.4264 x4  3 Sn 2.73-2.89, 5 Zn 2.73-2.92
Zn2 0.0818 0.5000 0.6170 x4  4 Zn 2.64-2.87, 3 Sn 2.71-2.86
Zn3 0.1918 0.5000 0.4712 x4  5 Zn 2.64-2.90, 2 Sn 2.75-2.86
Sn1 0.0309 0.5000 0.2330 x4  4 Zn 2.71-2.86
Sn2 0.2064 0.0000 0.7035 x4  6 Zn 2.75-3.01

***

no.,theoretical density (Mg/m³),energy of formation from the pure elements (eV/atom),energy (eV for the cell shown)
1,4.43,-0.06,-31.9
2,4.52,-0.08,-32.0
3,5.01,-0.06,-53.2